[1]
# Re2HgAu GGA-PBEsol optimized geometry
data_Re2HgAu
_chemical_formula_sum 'Re4 Hg2 Au2'
_space_group_name_H-M_alt 'C m m m'
_space_group_IT_number 65
_space_group_name_Hall '-C 2 2'
_cell_length_a 2.7739
_cell_length_b 4.8045
_cell_length_c 9.9111
_cell_angle_alpha 90.00
_cell_angle_beta 90.00
_cell_angle_gamma 90.00
loop_
_atom_site_label
_atom_site_fract_x
_atom_site_fract_y
_atom_site_fract_z
Re1 0.0000 0.0000 0.2453
Hg1 0.0000 0.5000 0.5000
Au1 0.0000 0.5000 0.0000
# **Volume**: 16.511 A^3/atom
# **Energy relative to the elements**: 3.20 eV/f.u.


[2]
# Re2HgAu GGA-PBEsol optimized geometry
data_Re2HgAu
_chemical_formula_sum 'Re4 Hg2 Au2'
_space_group_name_H-M_alt 'I m m m'
_space_group_IT_number 71
_space_group_name_Hall '-I 2 2'
_cell_length_a 2.7593
_cell_length_b 4.7699
_cell_length_c 10.1006
_cell_angle_alpha 90.00
_cell_angle_beta 90.00
_cell_angle_gamma 90.00
loop_
_atom_site_label
_atom_site_fract_x
_atom_site_fract_y
_atom_site_fract_z
Re1 0.0000 0.0000 0.2356
Hg1 0.0000 0.5000 0.0000
Au1 0.0000 0.5000 0.5000
# **Volume**: 16.618 A^3/atom
# **Energy relative to the elements**: 3.05 eV/f.u.


[3]
# Re2HgAu GGA-PBEsol optimized geometry
data_Re2HgAu
_chemical_formula_sum 'Re4 Hg2 Au2'
_space_group_name_H-M_alt 'C 1 m 1'
_space_group_IT_number 8
_space_group_name_Hall 'C -2y'
_cell_length_a 9.2943
_cell_length_b 2.8024
_cell_length_c 5.0409
_cell_angle_alpha 90.00
_cell_angle_beta 98.78
_cell_angle_gamma 90.00
loop_
_atom_site_label
_atom_site_fract_x
_atom_site_fract_y
_atom_site_fract_z
Re1 0.0000 0.0000 0.0000
Re2 0.2374 0.5000 0.1815
Hg1 0.2450 0.0000 0.6995
Au1 0.4889 0.0000 0.4696
# **Volume**: 16.220 A^3/atom
# **Energy relative to the elements**: 2.38 eV/f.u.


[4]
# ReHg2Au GGA-PBEsol optimized geometry
data_ReHg2Au
_chemical_formula_sum 'Re2 Hg4 Au2'
_space_group_name_H-M_alt 'C 1 m 1'
_space_group_IT_number 8
_space_group_name_Hall 'C -2y'
_cell_length_a 10.8389
_cell_length_b 2.8417
_cell_length_c 5.1377
_cell_angle_alpha 90.00
_cell_angle_beta 116.08
_cell_angle_gamma 90.00
loop_
_atom_site_label
_atom_site_fract_x
_atom_site_fract_y
_atom_site_fract_z
Re1 0.0000 0.0000 0.0000
Hg1 0.2541 0.0000 0.9266
Hg2 0.4840 0.0000 0.5052
Au1 0.2237 0.5000 0.4045
# **Volume**: 17.767 A^3/atom
# **Energy relative to the elements**: 2.18 eV/f.u.


[5]
# ReHgAu2 GGA-PBEsol optimized geometry
data_ReHgAu2
_chemical_formula_sum 'Re1 Hg1 Au2'
_space_group_name_H-M_alt 'P m m 2'
_space_group_IT_number 25
_space_group_name_Hall 'P 2 -2'
_cell_length_a 2.7490
_cell_length_b 4.7517
_cell_length_c 5.1799
_cell_angle_alpha 90.00
_cell_angle_beta 90.00
_cell_angle_gamma 90.00
loop_
_atom_site_label
_atom_site_fract_x
_atom_site_fract_y
_atom_site_fract_z
Re1 0.0000 0.0000 0.0000
Hg1 0.0000 0.5000 0.6762
Au1 0.5000 0.0000 0.4840
Au2 0.5000 0.5000 0.1611
# **Volume**: 16.916 A^3/atom
# **Energy relative to the elements**: 2.13 eV/f.u.


[6]
# TlReHg2Au GGA-PBEsol optimized geometry
data_TlReHg2Au
_chemical_formula_sum 'Tl1 Re1 Hg2 Au1'
_space_group_name_H-M_alt 'P 4/m m m'
_space_group_IT_number 123
_space_group_name_Hall '-P 4 2'
_cell_length_a 5.4553
_cell_length_b 5.4553
_cell_length_c 5.1587
_cell_angle_alpha 90.00
_cell_angle_beta 90.00
_cell_angle_gamma 90.00
loop_
_atom_site_label
_atom_site_fract_x
_atom_site_fract_y
_atom_site_fract_z
Tl1 0.0000 0.0000 0.0000
Re1 0.5000 0.5000 0.5000
Hg1 0.0000 0.5000 0.0000
Au1 0.0000 0.0000 0.5000
# **Volume**: 30.705 A^3/atom
# **Energy relative to the elements**: 9.04 eV/f.u.


[7]
# HgRhAu2 GGA-PBEsol optimized geometry
data_HgRhAu2
_chemical_formula_sum 'Hg2 Rh2 Au4'
_space_group_name_H-M_alt 'C 1 2/m 1'
_space_group_IT_number 12
_space_group_name_Hall '-C 2y'
_cell_length_a 9.5161
_cell_length_b 3.0110
_cell_length_c 4.7832
_cell_angle_alpha 90.00
_cell_angle_beta 102.10
_cell_angle_gamma 90.00
loop_
_atom_site_label
_atom_site_fract_x
_atom_site_fract_y
_atom_site_fract_z
Hg1 0.0000 0.0000 0.0000
Rh1 0.0000 0.5000 0.5000
Au1 0.2433 0.0000 0.7404
# **Volume**: 16.751 A^3/atom
# **Energy relative to the elements**: 0.48 eV/f.u.


[8]
# HgRh2Au GGA-PBEsol optimized geometry
data_HgRh2Au
_chemical_formula_sum 'Hg1 Rh2 Au1'
_space_group_name_H-M_alt 'P 4/m m m'
_space_group_IT_number 123
_space_group_name_Hall '-P 4 2'
_cell_length_a 4.1484
_cell_length_b 4.1484
_cell_length_c 3.6644
_cell_angle_alpha 90.00
_cell_angle_beta 90.00
_cell_angle_gamma 90.00
loop_
_atom_site_label
_atom_site_fract_x
_atom_site_fract_y
_atom_site_fract_z
Hg1 0.0000 0.0000 0.0000
Rh1 0.0000 0.5000 0.5000
Au1 0.5000 0.5000 0.0000
# **Volume**: 15.766 A^3/atom
# **Energy relative to the elements**: 0.84 eV/f.u.


[9]
# HgRhAu2 GGA-PBEsol optimized geometry
data_HgRhAu2
_chemical_formula_sum 'Hg4 Rh4 Au8'
_space_group_name_H-M_alt 'F -4 3 m'
_space_group_IT_number 216
_space_group_name_Hall 'F -4 2 3'
_cell_length_a 6.4449
_cell_length_b 6.4449
_cell_length_c 6.4449
_cell_angle_alpha 90.00
_cell_angle_beta 90.00
_cell_angle_gamma 90.00
loop_
_atom_site_label
_atom_site_fract_x
_atom_site_fract_y
_atom_site_fract_z
Hg1 0.0000 0.0000 0.0000
Rh1 0.2500 0.2500 0.7500
Au1 0.0000 0.0000 0.5000
Au2 0.2500 0.2500 0.2500
# **Volume**: 16.731 A^3/atom
# **Energy relative to the elements**: 0.48 eV/f.u.


[10]
# Hg3RuAu GGA-PBEsol optimized geometry
data_Hg3RuAu
_chemical_formula_sum 'Hg3 Ru1 Au1'
_space_group_name_H-M_alt 'P m -3 m'
_space_group_IT_number 221
_space_group_name_Hall '-P 4 2 3'
_cell_length_a 5.1108
_cell_length_b 5.1108
_cell_length_c 5.1108
_cell_angle_alpha 90.00
_cell_angle_beta 90.00
_cell_angle_gamma 90.00
loop_
_atom_site_label
_atom_site_fract_x
_atom_site_fract_y
_atom_site_fract_z
Hg1 0.0000 0.0000 0.5000
Ru1 0.5000 0.5000 0.5000
Au1 0.0000 0.0000 0.0000
# **Volume**: 26.699 A^3/atom
# **Energy relative to the elements**: 6.21 eV/f.u.


[11]
# HgRuAu2 GGA-PBEsol optimized geometry
data_HgRuAu2
_chemical_formula_sum 'Hg2 Ru2 Au4'
_space_group_name_H-M_alt 'C 1 m 1'
_space_group_IT_number 8
_space_group_name_Hall 'C -2y'
_cell_length_a 9.4371
_cell_length_b 2.8071
_cell_length_c 5.1178
_cell_angle_alpha 90.00
_cell_angle_beta 99.62
_cell_angle_gamma 90.00
loop_
_atom_site_label
_atom_site_fract_x
_atom_site_fract_y
_atom_site_fract_z
Hg1 0.0000 0.0000 0.0000
Ru1 0.2521 0.0000 0.7586
Au1 0.0105 0.5000 0.5143
Au2 0.2567 0.5000 0.2686
# **Volume**: 16.708 A^3/atom
# **Energy relative to the elements**: 1.48 eV/f.u.


[12]
# HgRu2Au GGA-PBEsol optimized geometry
data_HgRu2Au
_chemical_formula_sum 'Hg1 Ru2 Au1'
_space_group_name_H-M_alt 'P m m 2'
_space_group_IT_number 25
_space_group_name_Hall 'P 2 -2'
_cell_length_a 2.8061
_cell_length_b 3.6500
_cell_length_c 6.2677
_cell_angle_alpha 90.00
_cell_angle_beta 90.00
_cell_angle_gamma 90.00
loop_
_atom_site_label
_atom_site_fract_x
_atom_site_fract_y
_atom_site_fract_z
Hg1 0.0000 0.0000 0.0000
Ru1 0.0000 0.0000 0.4581
Ru2 0.5000 0.5000 0.2823
Au1 0.5000 0.5000 0.7220
# **Volume**: 16.049 A^3/atom
# **Energy relative to the elements**: 1.27 eV/f.u.